No. 1
Density functional theory data (PBE) for a relaxed Ac2PmGe3Pt4 crystal.

Output
Crystal system   tetragonal
Energy of formation   -9.55 eV/f.u.

Geometry as extended XYZ:
```
10
Lattice="4.458 0.000 0.000 0.000 4.458 0.000 0.000 0.000 11.311" Properties=species:S:1:pos:R:3 pbc="T T T"
Pt 2.229 2.229 0.000
Pt 0.000 2.229 3.823
Pt 2.229 0.000 7.488
Pt 0.000 0.000 0.000
Ac 2.229 0.000 2.560
Ac 0.000 2.229 8.751
Ge 2.229 0.000 10.011
Ge 0.000 2.229 1.300
Ge 0.000 0.000 5.656
Pm 2.229 2.229 5.656
```


No. 2
Density functional theory data (PBE) for a relaxed KLa2Hg crystal.

Output
Crystal system   tetragonal
Energy of formation   0.58 eV/f.u.

Geometry as extended XYZ:
```
4
Lattice="-1.720 -4.692 1.352 2.065 0.586 4.660 -4.377 2.087 1.677" Properties=species:S:1:pos:R:3 pbc="T T T"
K -3.048 -1.302 1.514
La -1.156 1.337 3.168
La 0.000 0.000 0.000
Hg 0.173 -2.053 3.006
```


No. 3
Density functional theory data (PBE) for a relaxed Pm4HoIn2 crystal.

Output
Crystal system   orthorhombic
Energy of formation   0.00 eV/f.u.

Geometry as extended XYZ:
```
7
Lattice="6.226 -1.776 -0.547 -2.337 6.038 -0.547 0.804 0.881 6.277" Properties=species:S:1:pos:R:3 pbc="T T T"
In 2.543 2.787 4.121
In 2.150 2.356 1.060
Pm 5.427 -0.239 2.591
Pm -0.734 5.382 2.591
Pm -1.169 3.019 -0.274
Pm 3.113 -0.888 -0.274
Ho 0.000 0.000 0.000
```